No. 1
Computed, not measured: crystalline Cr2FeAsO6 at its relaxed geometry at the PBE+U level of DFT.

abc: 5.149 5.083 5.654
angles: 65.27 60.43 60.69
Site moments in Bohr magnetons follow the coordinates.
Fractional coordinates of all 10 atoms:
Cr  0.008  0.010  0.973  3.04
Cr  0.514  0.524  0.429  3.76
As  0.326  0.323  0.027  0.06
O  0.137  0.387  0.774  -0.01
O  0.410  0.693  0.767  0.00
O  0.572  0.243  0.219  -0.01
O  0.721  0.100  0.784  0.03
O  0.202  0.985  0.222  0.02
O  0.952  0.603  0.233  -0.01
Fe  0.820  0.794  0.587  3.77

Summary:
- energy (hartree per atom) = -0.25850
- symmetry = P1 (1)
- calculated density (g/cm3) = 5.03

No. 2
Computed, not measured: crystalline CrFe2AsO at its relaxed geometry at the PBE+U level of DFT.

abc: 5.116 3.575 5.116
angles: 90.00 90.00 90.00
Site moments in Bohr magnetons follow the coordinates.
Fractional coordinates of all 5 atoms:
Fe  0.000  0.000  0.500  3.60
Fe  0.500  0.000  0.000  3.61
As  0.500  0.500  0.500  -0.18
Cr  0.000  0.000  0.000  -3.48
O  0.000  0.500  0.000  0.27

Summary:
- energy (hartree per atom) = -0.19252
- symmetry = P4/mmm (123)
- density of states at the Fermi level (states/eV/cell) = 1.999
- calculated density (g/cm3) = 4.52

What is the calculated density in the first record?
5.03 g/cm3